## Zr3Mo (GGA-PBEsol)

Data for a geometry-optimized Zr3Mo structure.

Values from the calculation:
As for the formation energy: 0.02 eV/atom. As for the total moment: 0.000 μB/cell. For the volume, the calculation gives 20.058 Å³/atom. The energy above the most stable polymorph in this dataset comes out at 22 meV/atom.

abc: 3.3350 3.3350 7.2136
angles: 90.00 90.00 90.00
Fractional coordinates of all 4 atoms:
Zr1 0.0000 0.0000 0.0000
Zr2 0.5000 0.5000 0.2819
Zr3 0.5000 0.5000 0.7181
Mo1 0.0000 0.0000 0.5000

=====

## ZrMo5 (GGA-PBEsol)

Data for a geometry-optimized ZrMo5 structure.

Values from the calculation:
As for the formation energy: 0.28 eV/atom. As for the total moment: 0.000 μB/cell. For the volume, the calculation gives 17.541 Å³/atom. The energy above the most stable polymorph in this dataset comes out at 298 meV/atom.

abc: 5.2282 5.2282 4.4459
angles: 90.00 90.00 120.00
Fractional coordinates of all 6 atoms:
Zr1 0.0000 0.0000 0.0000
Mo1 0.0000 0.5000 0.5000
Mo2 0.3333 0.6667 0.0000
Mo3 0.5000 0.0000 0.5000
Mo4 0.5000 0.5000 0.5000
Mo5 0.6667 0.3333 0.0000